(1)
This record from Alexandria describes an optimized crystal structure of B2SN. The functional is GGA-PBE.

abc: 3.6105 3.6105 3.6105
angles: 60.00 60.00 60.00
Closest atoms and distances in Å follow each position.
Sites, in units of the cell vectors:
S 0.5000 0.5000 0.5000  8 B 2.21
B 0.2500 0.2500 0.2500  4 S 2.21, 4 N 2.21
B 0.7500 0.7500 0.7500  4 S 2.21, 4 N 2.21
N 0.0000 0.0000 0.0000  8 B 2.21

Properties
total magnetic moment	0.00	μB per formula unit
DOS(E_F)	1.8	states/eV/f.u.

(2)
This record from Alexandria describes an optimized crystal structure of BS2N2. The functional is GGA-PBE.

abc: 5.0395 5.0395 2.6586
angles: 90.00 90.00 90.00
Closest atoms and distances in Å follow each position.
Sites, in units of the cell vectors:
S 0.0000 0.5000 0.0000  2 B 2.52, 2 S 2.66
S 0.5000 0.0000 0.0000  2 B 2.52, 2 S 2.66
B 0.0000 0.0000 0.0000  2 N 1.33
N 0.5000 0.5000 0.5000  2 N 2.66, 8 S 2.85
N 0.0000 0.0000 0.5000  2 B 1.33

Properties
total magnetic moment	0.85	μB per formula unit
DOS(E_F)	3.2	states/eV/f.u.

(3)
This record from Alexandria describes an optimized crystal structure of BSN2. The functional is GGA-PBE.

abc: 3.5924 3.5924 3.5924
angles: 60.00 60.00 60.00
Closest atoms and distances in Å follow each position.
Sites, in units of the cell vectors:
S 0.5000 0.5000 0.5000  8 N 2.20
B 0.0000 0.0000 0.0000  8 N 2.20
N 0.2500 0.2500 0.2500  4 S 2.20, 4 B 2.20
N 0.7500 0.7500 0.7500  4 S 2.20, 4 B 2.20

Properties
total magnetic moment	0.00	μB per formula unit
DOS(E_F)	1.7	states/eV/f.u.

(4)
This record from Alexandria describes an optimized crystal structure of BS2N2. The functional is GGA-PBE.

abc: 3.1412 3.1412 7.3961
angles: 90.00 90.00 90.00
Closest atoms and distances in Å follow each position.
Sites, in units of the cell vectors:
S 0.5000 0.5000 0.5000  4 S 2.22
S 0.0000 0.0000 0.5000  4 S 2.22
B 0.0000 0.0000 0.0000  4 N 1.57
N 0.0000 0.5000 0.0000  2 B 1.57
N 0.5000 0.0000 0.0000  2 B 1.57

Properties
total magnetic moment	0.00	μB per formula unit
DOS(E_F)	2.8	states/eV/f.u.

E_tot in eV per atom, matching the order above: -4.1892; -4.7533; -4.1869; -5.2215